Model 1:
# KTaZn | Alexandria | PBE | optimized geometry
# DOS(E_F) in states/eV/f.u.: 2.49
# Crystal system: hexagonal
data_KTaZn
_cell_length_a 4.3505
_cell_length_b 4.3505
_cell_length_c 5.8543
_cell_angle_alpha 90.00
_cell_angle_beta 90.00
_cell_angle_gamma 120.00
_symmetry_space_group_name_H-M 'P -6 m 2'
_symmetry_Int_Tables_number 187
_symmetry_space_group_name_Hall 'P -6 2'
loop_
_atom_site_label
_atom_site_type_symbol
_atom_site_fract_x
_atom_site_fract_y
_atom_site_fract_z
K1 K 0.0000 0.0000 0.0000
Ta1 Ta 0.6667 0.3333 0.5000
Zn1 Zn 0.3333 0.6667 0.5000

Model 2:
# KTaZn | Alexandria | PBE | optimized geometry
# DOS(E_F) in states/eV/f.u.: 1.15
# Crystal system: tetragonal
data_KTaZn
_cell_length_a 3.032
_cell_length_b 3.032
_cell_length_c 15.191
_cell_angle_alpha 90.00
_cell_angle_beta 90.00
_cell_angle_gamma 90.00
_symmetry_space_group_name_H-M 'I 4 m m'
_symmetry_Int_Tables_number 107
_symmetry_space_group_name_Hall 'I 4 -2'
loop_
_atom_site_label
_atom_site_type_symbol
_atom_site_fract_x
_atom_site_fract_y
_atom_site_fract_z
K1 K 0.000 0.000 0.000
Ta1 Ta 0.000 0.000 0.704
Zn1 Zn 0.000 0.000 0.314

Model 3:
# KTaZn | Alexandria | PBE | optimized geometry
# DOS(E_F) in states/eV/f.u.: 2.91
# Crystal system: triclinic
data_KTaZn
_cell_length_a 3.051
_cell_length_b 4.887
_cell_length_c 12.375
_cell_angle_alpha 81.62
_cell_angle_beta 83.49
_cell_angle_gamma 74.02
_symmetry_space_group_name_H-M 'P 1'
_symmetry_Int_Tables_number 1
loop_
_symmetry_equiv_pos_as_xyz
'x,y,z'
loop_
_atom_site_label
_atom_site_type_symbol
_atom_site_fract_x
_atom_site_fract_y
_atom_site_fract_z
K1 K 0.000 0.000 0.000
K2 K 0.391 0.597 0.665
Ta1 Ta 0.357 0.947 0.285
Ta2 Ta 0.781 0.434 0.223
Zn1 Zn 0.045 0.531 0.415
Zn2 Zn 0.726 0.095 0.459

Model 4:
# KTaZn | Alexandria | PBE | optimized geometry
# DOS(E_F) in states/eV/f.u.: 2.07
# Crystal system: monoclinic
data_KTaZn
_cell_length_a 13.649
_cell_length_b 4.630
_cell_length_c 5.331
_cell_angle_alpha 90.00
_cell_angle_beta 91.12
_cell_angle_gamma 90.00
_symmetry_space_group_name_H-M 'C 1 m 1'
_symmetry_Int_Tables_number 8
loop_
_symmetry_equiv_pos_as_xyz
'x,y,z'
'x,-y,z'
'x+1/2,y+1/2,z'
'x+1/2,-y+1/2,z'
loop_
_atom_site_label
_atom_site_type_symbol
_atom_site_fract_x
_atom_site_fract_y
_atom_site_fract_z
K1 K 0.000 0.000 0.000
K2 K 0.057 0.500 0.510
Ta1 Ta 0.253 0.500 0.033
Ta2 Ta 0.259 0.000 0.227
Zn1 Zn 0.308 0.000 0.747
Zn2 Zn 0.316 0.500 0.512

The data favor model 3; the next most stable structure lies 209 meV/atom above it.

Model 1:
# KTaZn | Alexandria | PBE | optimized geometry
# DOS(E_F) in states/eV/f.u.: 2.18
# Crystal system: orthorhombic
data_KTaZn
_cell_length_a 13.260
_cell_length_b 5.046
_cell_length_c 5.035
_cell_angle_alpha 90.00
_cell_angle_beta 90.00
_cell_angle_gamma 90.00
_symmetry_space_group_name_H-M 'P n m a'
_symmetry_Int_Tables_number 62
loop_
_symmetry_equiv_pos_as_xyz
'x,y,z'
'-x,-y,-z'
'-x+1/2,-y,z+1/2'
'x+1/2,y,-z+1/2'
'x+1/2,-y+1/2,-z+1/2'
'-x+1/2,y+1/2,z+1/2'
'-x,y+1/2,-z'
'x,-y+1/2,z'
loop_
_atom_site_label
_atom_site_type_symbol
_atom_site_fract_x
_atom_site_fract_y
_atom_site_fract_z
K1 K 0.232 0.250 0.002
Ta1 Ta 0.004 0.250 0.500
Zn1 Zn 0.000 0.000 0.000

Model 2:
# KTaZn | Alexandria | PBE | optimized geometry
# DOS(E_F) in states/eV/f.u.: 3.53
# Crystal system: orthorhombic
data_KTaZn
_cell_length_a 8.449
_cell_length_b 2.870
_cell_length_c 11.008
_cell_angle_alpha 90.00
_cell_angle_beta 90.00
_cell_angle_gamma 90.00
_symmetry_space_group_name_H-M 'P n m a'
_symmetry_Int_Tables_number 62
loop_
_symmetry_equiv_pos_as_xyz
'x,y,z'
'-x,-y,-z'
'-x+1/2,-y,z+1/2'
'x+1/2,y,-z+1/2'
'x+1/2,-y+1/2,-z+1/2'
'-x+1/2,y+1/2,z+1/2'
'-x,y+1/2,-z'
'x,-y+1/2,z'
loop_
_atom_site_label
_atom_site_type_symbol
_atom_site_fract_x
_atom_site_fract_y
_atom_site_fract_z
K1 K 0.141 0.250 0.078
Ta1 Ta 0.038 0.250 0.394
Zn1 Zn 0.180 0.250 0.784

Model 3:
# KTaZn | Alexandria | PBE | optimized geometry
# DOS(E_F) in states/eV/f.u.: 3.59
# Crystal system: hexagonal
data_KTaZn
_cell_length_a 5.3811
_cell_length_b 5.3811
_cell_length_c 5.5861
_cell_angle_alpha 90.00
_cell_angle_beta 90.00
_cell_angle_gamma 120.00
_symmetry_space_group_name_H-M 'P -6 m 2'
_symmetry_Int_Tables_number 187
_symmetry_space_group_name_Hall 'P -6 2'
loop_
_atom_site_label
_atom_site_type_symbol
_atom_site_fract_x
_atom_site_fract_y
_atom_site_fract_z
K1 K 0.0000 0.0000 0.0000
K2 K 0.0000 0.0000 0.5000
Ta1 Ta 0.3333 0.6667 0.2235
Zn1 Zn 0.6667 0.3333 0.2454

The data favor model 2; the next most stable structure lies 36 meV/atom above it.

Model 1:
# KTaZn | Alexandria | PBE | optimized geometry
# DOS(E_F) in states/eV/f.u.: 3.59
# Crystal system: trigonal
data_KTaZn
_cell_length_a 2.9903
_cell_length_b 2.9903
_cell_length_c 8.5899
_cell_angle_alpha 90.00
_cell_angle_beta 90.00
_cell_angle_gamma 120.00
_symmetry_space_group_name_H-M 'P 3 m 1'
_symmetry_Int_Tables_number 156
loop_
_symmetry_equiv_pos_as_xyz
'x,y,z'
'-y,x-y,z'
'-x+y,-x,z'
'-y,-x,z'
'-x+y,y,z'
'x,x-y,z'
loop_
_atom_site_label
_atom_site_type_symbol
_atom_site_fract_x
_atom_site_fract_y
_atom_site_fract_z
K1 K 0.0000 0.0000 0.0000
Ta1 Ta 0.3333 0.6667 0.3831
Zn1 Zn 0.6667 0.3333 0.6502

Model 2:
# KTaZn | Alexandria | PBE | optimized geometry
# DOS(E_F) in states/eV/f.u.: 1.49
# Crystal system: tetragonal
data_KTaZn
_cell_length_a 4.972
_cell_length_b 4.972
_cell_length_c 7.619
_cell_angle_alpha 90.00
_cell_angle_beta 90.00
_cell_angle_gamma 90.00
_symmetry_space_group_name_H-M 'P 4/n m m'
_symmetry_Int_Tables_number 129
loop_
_symmetry_equiv_pos_as_xyz
'x,y,z'
'-x,-y,-z'
'-y+1/2,x,z'
'y+1/2,-x,-z'
'-x+1/2,-y+1/2,z'
'x+1/2,y+1/2,-z'
'y,-x+1/2,z'
'-y,x+1/2,-z'
'x+1/2,-y,-z'
'-x+1/2,y,z'
'-y,-x,-z'
'y,x,z'
'-x,y+1/2,-z'
'x,-y+1/2,z'
'y+1/2,x+1/2,-z'
'-y+1/2,-x+1/2,z'
loop_
_atom_site_label
_atom_site_type_symbol
_atom_site_fract_x
_atom_site_fract_y
_atom_site_fract_z
K1 K 0.250 0.250 0.140
Ta1 Ta 0.250 0.250 0.584
Zn1 Zn 0.250 0.750 0.500

Model 3:
# KTaZn | Alexandria | PBE | optimized geometry
# DOS(E_F) in states/eV/f.u.: 2.07
# Crystal system: triclinic
data_KTaZn
_cell_length_a 3.832
_cell_length_b 3.868
_cell_length_c 12.834
_cell_angle_alpha 89.81
_cell_angle_beta 81.87
_cell_angle_gamma 89.99
_symmetry_space_group_name_H-M 'P 1'
_symmetry_Int_Tables_number 1
loop_
_symmetry_equiv_pos_as_xyz
'x,y,z'
loop_
_atom_site_label
_atom_site_type_symbol
_atom_site_fract_x
_atom_site_fract_y
_atom_site_fract_z
K1 K 0.000 0.000 0.000
K2 K 0.313 0.499 0.331
Ta1 Ta 0.189 0.000 0.595
Ta2 Ta 0.690 0.500 0.594
Zn1 Zn 0.112 0.498 0.757
Zn2 Zn 0.613 0.998 0.757

The data favor model 3; the next most stable structure lies 327 meV/atom above it.

Model 1:
# KZr2Ta | Alexandria | PBE | optimized geometry
# DOS(E_F) in states/eV/f.u.: 5.96
# Crystal system: cubic
data_KZr2Ta
_cell_length_a 7.269
_cell_length_b 7.269
_cell_length_c 7.269
_cell_angle_alpha 90.00
_cell_angle_beta 90.00
_cell_angle_gamma 90.00
_symmetry_space_group_name_H-M 'F -4 3 m'
_symmetry_Int_Tables_number 216
_symmetry_space_group_name_Hall 'F -4 2 3'
loop_
_atom_site_label
_atom_site_type_symbol
_atom_site_fract_x
_atom_site_fract_y
_atom_site_fract_z
K1 K 0.000 0.000 0.000
Zr1 Zr 0.000 0.000 0.500
Zr2 Zr 0.250 0.250 0.250
Ta1 Ta 0.250 0.250 0.750

Model 2:
# KZr2Ta | Alexandria | PBE | optimized geometry
# DOS(E_F) in states/eV/f.u.: 3.25
# Crystal system: orthorhombic
data_KZr2Ta
_cell_length_a 2.945
_cell_length_b 5.893
_cell_length_c 11.760
_cell_angle_alpha 90.00
_cell_angle_beta 90.00
_cell_angle_gamma 90.00
_symmetry_space_group_name_H-M 'I m m 2'
_symmetry_Int_Tables_number 44
loop_
_symmetry_equiv_pos_as_xyz
'x,y,z'
'-x,-y,z'
'-x,y,z'
'x,-y,z'
'x+1/2,y+1/2,z+1/2'
'-x+1/2,-y+1/2,z+1/2'
'-x+1/2,y+1/2,z+1/2'
'x+1/2,-y+1/2,z+1/2'
loop_
_atom_site_label
_atom_site_type_symbol
_atom_site_fract_x
_atom_site_fract_y
_atom_site_fract_z
K1 K 0.000 0.000 0.000
Zr1 Zr 0.000 0.000 0.465
Zr2 Zr 0.000 0.500 0.215
Ta1 Ta 0.000 0.500 0.766

The data favor model 2; the next most stable structure lies 307 meV/atom above it.

Model 1:
# K2ZrTa | Alexandria | PBE | optimized geometry
# DOS(E_F) in states/eV/f.u.: 2.61
# Crystal system: orthorhombic
data_K2ZrTa
_cell_length_a 3.001
_cell_length_b 7.029
_cell_length_c 13.161
_cell_angle_alpha 90.00
_cell_angle_beta 90.00
_cell_angle_gamma 90.00
_symmetry_space_group_name_H-M 'I m m 2'
_symmetry_Int_Tables_number 44
loop_
_symmetry_equiv_pos_as_xyz
'x,y,z'
'-x,-y,z'
'-x,y,z'
'x,-y,z'
'x+1/2,y+1/2,z+1/2'
'-x+1/2,-y+1/2,z+1/2'
'-x+1/2,y+1/2,z+1/2'
'x+1/2,-y+1/2,z+1/2'
loop_
_atom_site_label
_atom_site_type_symbol
_atom_site_fract_x
_atom_site_fract_y
_atom_site_fract_z
K1 K 0.000 0.000 0.000
K2 K 0.000 0.500 0.215
Zr1 Zr 0.000 0.000 0.431
Ta1 Ta 0.000 0.500 0.762

Model 2:
# K2ZrTa | Alexandria | PBE | optimized geometry
# DOS(E_F) in states/eV/f.u.: 3.39
# Crystal system: orthorhombic
data_K2ZrTa
_cell_length_a 3.123
_cell_length_b 5.265
_cell_length_c 6.801
_cell_angle_alpha 90.00
_cell_angle_beta 90.00
_cell_angle_gamma 90.00
_symmetry_space_group_name_H-M 'P m m m'
_symmetry_Int_Tables_number 47
loop_
_symmetry_equiv_pos_as_xyz
'x,y,z'
'-x,-y,-z'
'-x,-y,z'
'x,y,-z'
'x,-y,-z'
'-x,y,z'
'-x,y,-z'
'x,-y,z'
loop_
_atom_site_label
_atom_site_type_symbol
_atom_site_fract_x
_atom_site_fract_y
_atom_site_fract_z
K1 K 0.000 0.000 0.000
K2 K 0.500 0.500 0.000
Zr1 Zr 0.000 0.500 0.500
Ta1 Ta 0.500 0.000 0.500

Model 3:
# K2ZrTa | Alexandria | PBE | optimized geometry
# DOS(E_F) in states/eV/f.u.: 5.18
# Crystal system: tetragonal
data_K2ZrTa
_cell_length_a 6.824
_cell_length_b 6.824
_cell_length_c 2.797
_cell_angle_alpha 90.00
_cell_angle_beta 90.00
_cell_angle_gamma 90.00
_symmetry_space_group_name_H-M 'P 4/m m m'
_symmetry_Int_Tables_number 123
_symmetry_space_group_name_Hall '-P 4 2'
loop_
_atom_site_label
_atom_site_type_symbol
_atom_site_fract_x
_atom_site_fract_y
_atom_site_fract_z
K1 K 0.000 0.500 0.000
Zr1 Zr 0.000 0.000 0.500
Ta1 Ta 0.500 0.500 0.500

Model 4:
# K2ZrTa | Alexandria | PBE | optimized geometry
# DOS(E_F) in states/eV/f.u.: 5.82
# Crystal system: orthorhombic
data_K2ZrTa
_cell_length_a 3.118
_cell_length_b 5.237
_cell_length_c 13.613
_cell_angle_alpha 90.00
_cell_angle_beta 90.00
_cell_angle_gamma 90.00
_symmetry_space_group_name_H-M 'C m m m'
_symmetry_Int_Tables_number 65
_symmetry_space_group_name_Hall '-C 2 2'
loop_
_atom_site_label
_atom_site_type_symbol
_atom_site_fract_x
_atom_site_fract_y
_atom_site_fract_z
K1 K 0.000 0.000 0.242
Zr1 Zr 0.000 0.500 0.500
Ta1 Ta 0.000 0.500 0.000

The data favor model 1; the next most stable structure lies 54 meV/atom above it.

Model 1:
# K2ZrTa | Alexandria | PBE | optimized geometry
# DOS(E_F) in states/eV/f.u.: 4.83
# Crystal system: orthorhombic
data_K2ZrTa
_cell_length_a 4.077
_cell_length_b 5.019
_cell_length_c 12.694
_cell_angle_alpha 90.00
_cell_angle_beta 90.00
_cell_angle_gamma 90.00
_symmetry_space_group_name_H-M 'C m m 2'
_symmetry_Int_Tables_number 35
loop_
_symmetry_equiv_pos_as_xyz
'x,y,z'
'-x,-y,z'
'-x,y,z'
'x,-y,z'
'x+1/2,y+1/2,z'
'-x+1/2,-y+1/2,z'
'-x+1/2,y+1/2,z'
'x+1/2,-y+1/2,z'
loop_
_atom_site_label
_atom_site_type_symbol
_atom_site_fract_x
_atom_site_fract_y
_atom_site_fract_z
K1 K 0.000 0.000 0.000
K2 K 0.000 0.500 0.329
Zr1 Zr 0.000 0.000 0.602
Ta1 Ta 0.000 0.500 0.753

Model 2:
# K2ZrTa | Alexandria | PBE | optimized geometry
# DOS(E_F) in states/eV/f.u.: 3.61
# Crystal system: tetragonal
data_K2ZrTa
_cell_length_a 4.178
_cell_length_b 4.178
_cell_length_c 6.704
_cell_angle_alpha 90.00
_cell_angle_beta 90.00
_cell_angle_gamma 90.00
_symmetry_space_group_name_H-M 'P 4/m m m'
_symmetry_Int_Tables_number 123
_symmetry_space_group_name_Hall '-P 4 2'
loop_
_atom_site_label
_atom_site_type_symbol
_atom_site_fract_x
_atom_site_fract_y
_atom_site_fract_z
K1 K 0.000 0.500 0.000
Zr1 Zr 0.000 0.000 0.500
Ta1 Ta 0.500 0.500 0.500

The data favor model 1; the next most stable structure lies 569 meV/atom above it.